No. 1
This record from the Alexandria database describes a geometry-optimized Mn3VPd structure. The functional is PBE.

```
Mn3VPd
1.0
4.3748 0.0000 0.0000
0.0000 4.3748 0.0000
0.0000 0.0000 4.3748
Mn V Pd
3 1 1
Direct
0.0000 0.0000 0.5000 Mn
0.0000 0.5000 0.0000 Mn
0.5000 0.0000 0.0000 Mn
0.0000 0.0000 0.0000 V
0.5000 0.5000 0.5000 Pd
```

Values from the calculation:
* volume: 16.7 Å³ per atom

***

No. 2
This record from the Alexandria database describes a geometry-optimized Mn2VPd structure. The functional is PBE.

```
Mn2VPd
1.0
3.0603 0.0000 0.0000
0.0000 3.0603 0.0000
0.0000 0.0000 5.9308
Mn V Pd
2 1 1
Direct
0.0000 0.0000 0.2323 Mn
0.0000 0.0000 0.7677 Mn
0.5000 0.5000 0.0000 V
0.5000 0.5000 0.5000 Pd
```

Values from the calculation:
* volume: 13.9 Å³ per atom

***

No. 3
This record from the Alexandria database describes a geometry-optimized MnVPd4 structure. The functional is PBE.

```
MnVPd4
1.0
2.8137 0.0000 0.0000
0.0000 3.7564 0.0000
0.0000 0.0000 8.4177
Mn V Pd
1 1 4
Direct
0.0000 0.0000 0.0000 Mn
0.5000 0.5000 0.5000 V
0.0000 0.0000 0.3405 Pd
0.0000 0.0000 0.6595 Pd
0.5000 0.5000 0.1646 Pd
0.5000 0.5000 0.8354 Pd
```

Values from the calculation:
* volume: 14.8 Å³ per atom

***

No. 4
This record from the Alexandria database describes a geometry-optimized Mn4VPd structure. The functional is PBE.

```
Mn4VPd
1.0
0.0000 3.3087 3.3087
3.3087 0.0000 3.3087
3.3087 3.3087 0.0000
Mn V Pd
4 1 1
Direct
0.3768 0.3768 0.3768 Mn
0.3768 0.3768 0.8696 Mn
0.3768 0.8696 0.3768 Mn
0.8696 0.3768 0.3768 Mn
0.0000 0.0000 0.0000 V
0.7500 0.7500 0.7500 Pd
```

Values from the calculation:
* volume: 12.1 Å³ per atom

***

No. 5
This record from the Alexandria database describes a geometry-optimized MnVPd2 structure. The functional is PBE.

```
MnVPd2
1.0
0.0000 3.1148 3.1148
3.1148 0.0000 3.1148
3.1148 3.1148 0.0000
Mn V Pd
1 1 2
Direct
0.0000 0.0000 0.0000 Mn
0.5000 0.5000 0.5000 V
0.2500 0.2500 0.2500 Pd
0.7500 0.7500 0.7500 Pd
```

Values from the calculation:
* volume: 15.1 Å³ per atom

***

No. 6
This record from the Alexandria database describes a geometry-optimized Mn2V5Pd12 structure. The functional is PBE.

```
Mn2V5Pd12
1.0
7.1933 -2.6663 0.0000
7.1933 2.6663 0.0000
-2.3077 0.0000 8.1791
Mn V Pd
2 5 12
Direct
0.2426 0.7574 0.0000 Mn
0.7574 0.2426 0.0000 Mn
0.1348 0.1348 0.8650 V
0.1810 0.1810 0.3480 V
0.5000 0.5000 0.5000 V
0.8190 0.8190 0.6520 V
0.8652 0.8652 0.1350 V
0.0112 0.0112 0.3470 Pd
0.0583 0.5459 0.8887 Pd
0.0896 0.5910 0.4022 Pd
0.4090 0.9104 0.5978 Pd
0.4133 0.4133 0.7169 Pd
0.4541 0.9417 0.1113 Pd
0.5459 0.0583 0.8887 Pd
0.5867 0.5867 0.2831 Pd
0.5910 0.0896 0.4022 Pd
0.9104 0.4090 0.5978 Pd
0.9417 0.4541 0.1113 Pd
0.9888 0.9888 0.6530 Pd
```

Values from the calculation:
* volume: 16.5 Å³ per atom

***

No. 7
This record from the Alexandria database describes a geometry-optimized MnVPd4 structure. The functional is PBE.

```
MnVPd4
1.0
4.0143 -5.2289 0.0000
4.0143 5.2289 0.0000
0.0000 0.0000 4.3469
Mn V Pd
2 2 8
Direct
0.1748 0.8252 0.7500 Mn
0.8252 0.1748 0.2500 Mn
0.4565 0.5435 0.7500 V
0.5435 0.4565 0.2500 V
0.1062 0.2454 0.7500 Pd
0.1573 0.5072 0.2500 Pd
0.2454 0.1062 0.2500 Pd
0.4928 0.8427 0.2500 Pd
0.5072 0.1573 0.7500 Pd
0.7546 0.8938 0.7500 Pd
0.8427 0.4928 0.7500 Pd
0.8938 0.7546 0.2500 Pd
```

Values from the calculation:
* volume: 15.2 Å³ per atom

***

No. 8
This record from the Alexandria database describes a geometry-optimized Mn2VPd8 structure. The functional is PBE.

```
Mn2VPd8
1.0
6.9705 -1.9920 0.0000
6.9705 1.9920 0.0000
-1.7693 0.0000 5.9495
Mn V Pd
2 1 8
Direct
0.2229 0.2229 0.1485 Mn
0.7771 0.7771 0.8515 Mn
0.5000 0.5000 0.5000 V
0.0429 0.0429 0.2316 Pd
0.1394 0.1394 0.6870 Pd
0.3217 0.3217 0.5858 Pd
0.4033 0.4033 0.0505 Pd
0.5967 0.5967 0.9495 Pd
0.6783 0.6783 0.4142 Pd
0.8606 0.8606 0.3130 Pd
0.9571 0.9571 0.7684 Pd
```

Values from the calculation:
* volume: 15.0 Å³ per atom

***

The records above yield total DFT energy (no corrections) values of -7.48; -8.29; -6.73; -8.47; -7.20; -6.56; -6.60; -6.49 eV/atom, respectively.